(a)
Density functional theory data (GGA-PBE) for crystalline CaLa2Zr at its relaxed geometry.

Computed properties:
- calculated density (g/cm³) = 5.11
- D(E_F) (states/eV per cell) = 5.99
- total moment (μB per cell) = 0.00

The structure in CIF format:
```
data_CaLa2Zr
_cell_length_a 3.527
_cell_length_b 3.527
_cell_length_c 10.686
_cell_angle_alpha 90.00
_cell_angle_beta 90.00
_cell_angle_gamma 90.00
_space_group_name_H-M_alt 'P 4 m m'
_space_group_IT_number 99
loop_
_space_group_symop_operation_xyz
'x,y,z'
'-y,x,z'
'-x,-y,z'
'y,-x,z'
'-x,y,z'
'y,x,z'
'x,-y,z'
'-y,-x,z'
loop_
_atom_site_label
_atom_site_fract_x
_atom_site_fract_y
_atom_site_fract_z
_atom_site_occupancy
Ca1 0.000 0.000 0.000 1
La1 0.000 0.000 0.548 1
La2 0.500 0.500 0.287 1
Zr1 0.500 0.500 0.763 1
```


(b)
Density functional theory data (GGA-PBE) for crystalline CaLa2Zr at its relaxed geometry.

Computed properties:
- calculated density (g/cm³) = 5.19
- D(E_F) (states/eV per cell) = 11.76
- total moment (μB per cell) = 0.00

The structure in CIF format:
```
data_CaLa2Zr
_cell_length_a 11.940
_cell_length_b 3.545
_cell_length_c 6.280
_cell_angle_alpha 90.00
_cell_angle_beta 99.65
_cell_angle_gamma 90.00
_space_group_name_H-M_alt 'C 1 m 1'
_space_group_IT_number 8
loop_
_space_group_symop_operation_xyz
'x,y,z'
'x,-y,z'
'x+1/2,y+1/2,z'
'x+1/2,-y+1/2,z'
loop_
_atom_site_label
_atom_site_fract_x
_atom_site_fract_y
_atom_site_fract_z
_atom_site_occupancy
Ca1 0.000 0.000 0.000 1
La1 0.016 0.500 0.524 1
La2 0.261 0.500 0.273 1
Zr1 0.253 0.000 0.741 1
```


Most stable structure - (a); separation to the second - 20 meV/atom.


(a)
Density functional theory data (GGA-PBE) for crystalline Ca2LaZr at its relaxed geometry.

Computed properties:
- calculated density (g/cm³) = 3.87
- D(E_F) (states/eV per cell) = 6.09
- total moment (μB per cell) = 1.09

The structure in CIF format:
```
data_Ca2LaZr
_cell_length_a 3.453
_cell_length_b 6.135
_cell_length_c 6.315
_cell_angle_alpha 90.00
_cell_angle_beta 95.61
_cell_angle_gamma 90.00
_space_group_name_H-M_alt 'P 1 2/m 1'
_space_group_IT_number 10
loop_
_space_group_symop_operation_xyz
'x,y,z'
'-x,-y,-z'
'-x,y,-z'
'x,-y,z'
loop_
_atom_site_label
_atom_site_fract_x
_atom_site_fract_y
_atom_site_fract_z
_atom_site_occupancy
Ca1 0.239 0.000 0.261 1
La1 0.500 0.500 0.000 1
Zr1 0.000 0.500 0.500 1
```


(b)
Density functional theory data (GGA-PBE) for crystalline Ca2LaZr at its relaxed geometry.

Computed properties:
- calculated density (g/cm³) = 3.86
- D(E_F) (states/eV per cell) = 28.97
- total moment (μB per cell) = 0.00

The structure in CIF format:
```
data_Ca2LaZr
_cell_length_a 8.110
_cell_length_b 8.110
_cell_length_c 8.110
_cell_angle_alpha 90.00
_cell_angle_beta 90.00
_cell_angle_gamma 90.00
_space_group_name_H-M_alt 'F m -3 m'
_space_group_IT_number 225
_space_group_name_Hall '-F 4 2 3'
loop_
_atom_site_label
_atom_site_fract_x
_atom_site_fract_y
_atom_site_fract_z
_atom_site_occupancy
Ca1 0.250 0.250 0.250 1
La1 0.000 0.000 0.000 1
Zr1 0.000 0.000 0.500 1
```


Most stable structure - (a); separation to the second - 70 meV/atom.


(a)
Density functional theory data (GGA-PBE) for crystalline CaLaZr at its relaxed geometry.

Computed properties:
- calculated density (g/cm³) = 4.13
- D(E_F) (states/eV per cell) = 25.85
- total moment (μB per cell) = 7.66

The structure in CIF format:
```
data_CaLaZr
_cell_length_a 7.572
_cell_length_b 7.572
_cell_length_c 7.572
_cell_angle_alpha 90.00
_cell_angle_beta 90.00
_cell_angle_gamma 90.00
_space_group_name_H-M_alt 'F -4 3 m'
_space_group_IT_number 216
_space_group_name_Hall 'F -4 2 3'
loop_
_atom_site_label
_atom_site_fract_x
_atom_site_fract_y
_atom_site_fract_z
_atom_site_occupancy
Ca1 0.000 0.000 0.000 1
La1 0.250 0.250 0.750 1
Zr1 0.000 0.000 0.500 1
```


(b)
Density functional theory data (GGA-PBE) for crystalline CaLaZr at its relaxed geometry.

Computed properties:
- calculated density (g/cm³) = 4.61
- D(E_F) (states/eV per cell) = 6.07
- total moment (μB per cell) = 0.00

The structure in CIF format:
```
data_CaLaZr
_cell_length_a 3.447
_cell_length_b 3.447
_cell_length_c 16.380
_cell_angle_alpha 90.00
_cell_angle_beta 90.00
_cell_angle_gamma 90.00
_space_group_name_H-M_alt 'I 4 m m'
_space_group_IT_number 107
_space_group_name_Hall 'I 4 -2'
loop_
_atom_site_label
_atom_site_fract_x
_atom_site_fract_y
_atom_site_fract_z
_atom_site_occupancy
Ca1 0.000 0.000 0.000 1
La1 0.000 0.000 0.302 1
Zr1 0.000 0.000 0.660 1
```


Most stable structure - (b); separation to the second - 864 meV/atom.